Record 1
{"formula": "TbTm4S6", "functional": "PBE", "state": "relaxed", "cell": [[-3.0489, -1.0092, -2.0103], [-0.5885, -2.8908, 5.9143], [-9.6207, 15.6925, 6.7130]], "species": ["S", "S", "S", "S", "S", "S", "S", "S", "S", "S", "S", "S", "Tm", "Tm", "Tm", "Tm", "Tm", "Tm", "Tm", "Tm", "Tb", "Tb"], "fractional_positions": [[0.7691, 0.5382, 0.0885], [0.9508, 0.9016, 0.8341], [0.2309, 0.4618, 0.5885], [0.2309, 0.4618, 0.9115], [0.6896, 0.3792, 0.7500], [0.5000, 0.0000, 0.5000], [0.3104, 0.6208, 0.2500], [0.9508, 0.9016, 0.6659], [0.5000, 0.0000, 0.0000], [0.0492, 0.0984, 0.3341], [0.7691, 0.5382, 0.4115], [0.0492, 0.0984, 0.1659], [0.1386, 0.2771, 0.4606], [0.4084, 0.8167, 0.3730], [0.5916, 0.1833, 0.6270], [0.4084, 0.8167, 0.1270], [0.8614, 0.7229, 0.9606], [0.8614, 0.7229, 0.5394], [0.1386, 0.2771, 0.0394], [0.5916, 0.1833, 0.8730], [0.3483, 0.6965, 0.7500], [0.6517, 0.3035, 0.2500]], "e_form_raw_ev_per_atom": -2.02, "crystal_system": "orthorhombic", "mass_density_g_cm3": 7.26, "space_group": "No. 63"}



Record 2
{"formula": "TbTm2S2", "functional": "PBE", "state": "relaxed", "cell": [[3.7220, 0.0000, 0.6884], [1.7973, 3.2592, 0.6884], [0.1302, 0.0769, 9.7023]], "species": ["S", "S", "Tm", "Tm", "Tb"], "fractional_positions": [[0.6074, 0.6074, 0.1779], [0.3926, 0.3926, 0.8221], [0.7845, 0.7845, 0.6464], [0.2155, 0.2155, 0.3536], [0.0000, 0.0000, 0.0000]], "e_form_raw_ev_per_atom": -1.56, "crystal_system": "trigonal", "mass_density_g_cm3": 7.94, "space_group": "No. 166"}



Record 3
{"formula": "Tb2Tm6S3", "functional": "PBE", "state": "relaxed", "cell": [[3.6641, 0.0000, 0.3632], [1.8140, 3.1835, 0.3632], [-0.5545, -0.3222, 24.2540]], "species": ["S", "S", "S", "Tm", "Tm", "Tm", "Tm", "Tm", "Tm", "Tb", "Tb"], "fractional_positions": [[0.0000, 0.0000, 0.0000], [0.7122, 0.7122, 0.8635], [0.2878, 0.2878, 0.1365], [0.3566, 0.3566, 0.9301], [0.6434, 0.6434, 0.0699], [0.0690, 0.0690, 0.7930], [0.1857, 0.1857, 0.4430], [0.9310, 0.9310, 0.2070], [0.8143, 0.8143, 0.5570], [0.5582, 0.5582, 0.3254], [0.4418, 0.4418, 0.6746]], "e_form_raw_ev_per_atom": -1.02, "crystal_system": "trigonal", "mass_density_g_cm3": 8.35, "space_group": "No. 166"}



Record 4
{"formula": "TbTm2S", "functional": "PBE", "state": "relaxed", "cell": [[3.5940, 0.0000, 0.0000], [1.7970, 3.1125, 0.0000], [1.7970, 1.0375, 9.9908]], "species": ["Tm", "Tm", "Tb", "S"], "fractional_positions": [[0.1120, 0.1120, 0.6641], [0.8880, 0.8880, 0.3359], [0.0000, 0.0000, 0.0000], [0.5000, 0.5000, 0.5000]], "e_form_raw_ev_per_atom": -0.70, "crystal_system": "trigonal", "mass_density_g_cm3": 7.86, "space_group": "No. 166"}



Record 5
{"formula": "Tb3TmS4", "functional": "PBE", "state": "relaxed", "cell": [[-1.3446, 4.0493, -3.5104], [-0.3466, -3.6774, -4.1091], [-5.3479, -0.7798, 1.1489]], "species": ["S", "S", "S", "S", "Tb", "Tb", "Tb", "Tm"], "fractional_positions": [[0.0000, 0.0000, 0.5000], [0.5000, 0.5000, 0.5000], [0.0000, 0.5000, 0.0000], [0.5000, 0.0000, 0.0000], [0.5000, 0.0000, 0.5000], [0.0000, 0.5000, 0.5000], [0.5000, 0.5000, 0.0000], [0.0000, 0.0000, 0.0000]], "e_form_raw_ev_per_atom": -1.97, "crystal_system": "cubic", "mass_density_g_cm3": 7.62, "space_group": "No. 221"}



Record 6
{"formula": "TbTmS2", "functional": "PBE", "state": "relaxed", "cell": [[-3.0263, 2.3527, 0.5965], [-1.9068, -0.1290, 3.3759], [2.2396, 5.1589, 3.7043]], "species": ["Tm", "S", "S", "Tb"], "fractional_positions": [[0.0000, 0.0000, 0.0000], [0.2528, 0.2528, 0.2415], [0.7472, 0.7472, 0.7585], [0.5000, 0.5000, 0.5000]], "e_form_raw_ev_per_atom": -1.97, "crystal_system": "monoclinic", "mass_density_g_cm3": 7.86, "space_group": "No. 12"}